(1)
VASP calculation (PBE-GGA) on a relaxed structure of CsRb2MgBr5.

Cell lengths 9.427, 9.427, 9.427 Å; angles 146.87, 129.79, 61.48 degrees
Sites, in units of the cell vectors:
Cs 0.000 0.000 0.000
Rb 0.292 0.792 0.500
Rb 0.708 0.208 0.500
Mg 0.500 0.500 0.000
Br 0.141 0.379 0.762
Br 0.383 0.621 0.762
Br 0.500 0.000 0.500
Br 0.617 0.379 0.238
Br 0.859 0.621 0.238

Computed properties:
Raw formation energy: -1.6714 eV/atom
ρ: 3.47 g/cm3
Space-group type: Immm



(2)
VASP calculation (PBE-GGA) on a relaxed structure of Cs4RbMg3Br12.

Cell lengths 9.871, 9.871, 9.871 Å; angles 109.47, 109.47, 109.47 degrees
Sites, in units of the cell vectors:
Cs 0.000 0.000 0.500
Cs 0.000 0.500 0.000
Cs 0.500 0.000 0.000
Cs 0.500 0.500 0.500
Rb 0.000 0.000 0.000
Mg 0.000 0.500 0.500
Mg 0.500 0.000 0.500
Mg 0.500 0.500 0.000
Br 0.000 0.279 0.279
Br 0.000 0.721 0.721
Br 0.250 0.500 0.750
Br 0.250 0.750 0.500
Br 0.279 0.000 0.279
Br 0.279 0.279 0.000
Br 0.500 0.250 0.750
Br 0.500 0.750 0.250
Br 0.721 0.000 0.721
Br 0.721 0.721 0.000
Br 0.750 0.250 0.500
Br 0.750 0.500 0.250

Computed properties:
Raw formation energy: -1.5133 eV/atom
ρ: 3.70 g/cm3
Space-group type: Im-3m



(3)
VASP calculation (PBE-GGA) on a relaxed structure of Cs2MgSBr6.

Cell lengths 7.890, 7.890, 7.890 Å; angles 117.52, 117.52, 94.35 degrees
Sites, in units of the cell vectors:
Cs 0.250 0.750 0.500
Cs 0.750 0.250 0.500
Mg 0.000 0.000 0.000
S 0.500 0.500 0.000
Br 0.226 0.226 0.452
Br 0.226 0.774 0.000
Br 0.276 0.276 0.000
Br 0.724 0.724 0.000
Br 0.774 0.226 0.000
Br 0.774 0.774 0.548

Computed properties:
Raw formation energy: -1.0107 eV/atom
ρ: 3.70 g/cm3
Space-group type: I4/mmm



(4)
VASP calculation (PBE-GGA) on a relaxed structure of Cs2MgScBr6.

Cell lengths 13.545, 13.545, 13.545 Å; angles 33.80, 33.80, 33.80 degrees
Sites, in units of the cell vectors:
Cs 0.125 0.125 0.125
Cs 0.292 0.292 0.292
Cs 0.708 0.708 0.708
Cs 0.875 0.875 0.875
Mg 0.000 0.000 0.000
Mg 0.500 0.500 0.500
Sc 0.414 0.414 0.414
Sc 0.586 0.586 0.586
Br 0.137 0.619 0.619
Br 0.203 0.203 0.715
Br 0.203 0.715 0.203
Br 0.285 0.797 0.797
Br 0.381 0.381 0.863
Br 0.381 0.863 0.381
Br 0.619 0.137 0.619
Br 0.619 0.619 0.137
Br 0.715 0.203 0.203
Br 0.797 0.285 0.797
Br 0.797 0.797 0.285
Br 0.863 0.381 0.381

Computed properties:
Raw formation energy: -1.6025 eV/atom
ρ: 3.95 g/cm3
Space-group type: R-3m



(5)
VASP calculation (PBE-GGA) on a relaxed structure of CsMg2ScBr8.

Cell lengths 11.723, 11.723, 11.723 Å; angles 34.02, 34.02, 34.02 degrees
Sites, in units of the cell vectors:
Cs 0.000 0.000 0.000
Mg 0.237 0.237 0.237
Mg 0.763 0.763 0.763
Sc 0.500 0.500 0.500
Br 0.145 0.436 0.777
Br 0.223 0.855 0.564
Br 0.311 0.311 0.311
Br 0.436 0.777 0.145
Br 0.564 0.223 0.855
Br 0.689 0.689 0.689
Br 0.777 0.145 0.436
Br 0.855 0.564 0.223

Computed properties:
Raw formation energy: -1.5588 eV/atom
ρ: 3.20 g/cm3
Space-group type: R-3



(6)
VASP calculation (PBE-GGA) on a relaxed structure of Cs2MgSeBr6.

Cell lengths 7.975, 7.975, 7.975 Å; angles 118.05, 118.05, 93.42 degrees
Sites, in units of the cell vectors:
Cs 0.250 0.750 0.500
Cs 0.750 0.250 0.500
Mg 0.000 0.000 0.000
Se 0.500 0.500 0.000
Br 0.226 0.226 0.452
Br 0.226 0.774 0.000
Br 0.269 0.269 0.000
Br 0.731 0.731 0.000
Br 0.774 0.226 0.000
Br 0.774 0.774 0.548

Computed properties:
Raw formation energy: -1.0792 eV/atom
ρ: 3.82 g/cm3
Space-group type: I4/mmm



(7)
VASP calculation (PBE-GGA) on a relaxed structure of CsSmMgBr6.

Cell lengths 7.285, 7.285, 8.135 Å; angles 90.00, 90.00, 120.00 degrees
Sites, in units of the cell vectors:
Cs 0.000 0.000 0.000
Sm 0.667 0.333 0.500
Mg 0.333 0.667 0.500
Br 0.016 0.386 0.698
Br 0.016 0.631 0.302
Br 0.369 0.386 0.302
Br 0.369 0.984 0.698
Br 0.614 0.631 0.698
Br 0.614 0.984 0.302

Computed properties:
Raw formation energy: -1.7494 eV/atom
ρ: 3.50 g/cm3
Space-group type: P312



(8)
VASP calculation (PBE-GGA) on a relaxed structure of Cs2SmMgBr6.

Cell lengths 8.242, 11.680, 8.244 Å; angles 90.00, 90.00, 90.00 degrees
Sites, in units of the cell vectors:
Cs 0.250 0.000 0.250
Cs 0.250 0.500 0.250
Cs 0.750 0.000 0.750
Cs 0.750 0.500 0.750
Sm 0.250 0.250 0.749
Sm 0.750 0.750 0.251
Mg 0.250 0.750 0.750
Mg 0.750 0.250 0.250
Br 0.002 0.250 0.995
Br 0.004 0.250 0.501
Br 0.250 0.003 0.750
Br 0.250 0.497 0.750
Br 0.496 0.250 0.501
Br 0.498 0.250 0.995
Br 0.502 0.750 0.005
Br 0.504 0.750 0.499
Br 0.750 0.503 0.250
Br 0.750 0.997 0.250
Br 0.996 0.750 0.499
Br 0.998 0.750 0.005

Computed properties:
Raw formation energy: -1.5964 eV/atom
ρ: 3.85 g/cm3
Space-group type: Pmmn



(9)
VASP calculation (PBE-GGA) on a relaxed structure of Cs3Mg2SnBr9.

Cell lengths 7.903, 7.903, 9.723 Å; angles 90.00, 90.00, 120.00 degrees
Sites, in units of the cell vectors:
Cs 0.000 0.000 0.000
Cs 0.333 0.667 0.668
Cs 0.667 0.333 0.332
Mg 0.333 0.667 0.156
Mg 0.667 0.333 0.844
Sn 0.000 0.000 0.500
Br 0.000 0.500 0.000
Br 0.174 0.348 0.321
Br 0.174 0.826 0.321
Br 0.348 0.174 0.679
Br 0.500 0.000 0.000
Br 0.500 0.500 0.000
Br 0.652 0.826 0.321
Br 0.826 0.174 0.679
Br 0.826 0.652 0.679

Computed properties:
Raw formation energy: -1.4682 eV/atom
ρ: 4.06 g/cm3
Space-group type: P-3m1



(10)
VASP calculation (PBE-GGA) on a relaxed structure of CsMg2SnBr8.

Cell lengths 11.733, 11.733, 11.733 Å; angles 34.46, 34.46, 34.46 degrees
Sites, in units of the cell vectors:
Cs 0.000 0.000 0.000
Mg 0.241 0.241 0.241
Mg 0.759 0.759 0.759
Sn 0.500 0.500 0.500
Br 0.131 0.787 0.430
Br 0.213 0.570 0.869
Br 0.315 0.315 0.315
Br 0.430 0.131 0.787
Br 0.570 0.869 0.213
Br 0.685 0.685 0.685
Br 0.787 0.430 0.131
Br 0.869 0.213 0.570

Computed properties:
Raw formation energy: -1.1909 eV/atom
ρ: 3.38 g/cm3
Space-group type: R-3



(11)
VASP calculation (PBE-GGA) on a relaxed structure of Cs2MgSnBr6.

Cell lengths 8.023, 8.023, 8.023 Å; angles 60.00, 60.00, 60.00 degrees
Sites, in units of the cell vectors:
Cs 0.250 0.250 0.250
Cs 0.750 0.750 0.750
Mg 0.000 0.000 0.000
Sn 0.500 0.500 0.500
Br 0.239 0.239 0.761
Br 0.239 0.761 0.239
Br 0.239 0.761 0.761
Br 0.761 0.239 0.239
Br 0.761 0.239 0.761
Br 0.761 0.761 0.239

Computed properties:
Raw formation energy: -1.4058 eV/atom
ρ: 4.04 g/cm3
Space-group type: Fm-3m



(12)
VASP calculation (PBE-GGA) on a relaxed structure of CsSrMgBr2.

Cell lengths 5.857, 5.857, 7.013 Å; angles 90.00, 90.00, 90.00 degrees
Sites, in units of the cell vectors:
Cs 0.000 0.000 0.000
Sr 0.500 0.500 0.000
Mg 0.000 0.000 0.500
Br 0.000 0.500 0.500
Br 0.500 0.000 0.500

Computed properties:
Raw formation energy: -0.4208 eV/atom
ρ: 2.79 g/cm3
Space-group type: P4/mmm



(13)
VASP calculation (PBE-GGA) on a relaxed structure of Cs3SrMg2Br9.

Cell lengths 7.940, 7.940, 9.797 Å; angles 90.00, 90.00, 120.00 degrees
Sites, in units of the cell vectors:
Cs 0.000 0.000 0.000
Cs 0.333 0.667 0.676
Cs 0.667 0.333 0.324
Sr 0.000 0.000 0.500
Mg 0.333 0.667 0.157
Mg 0.667 0.333 0.843
Br 0.000 0.500 0.000
Br 0.175 0.351 0.318
Br 0.175 0.825 0.318
Br 0.351 0.175 0.682
Br 0.500 0.000 0.000
Br 0.500 0.500 0.000
Br 0.649 0.825 0.318
Br 0.825 0.175 0.682
Br 0.825 0.649 0.682

Computed properties:
Raw formation energy: -1.7341 eV/atom
ρ: 3.89 g/cm3
Space-group type: P-3m1



(14)
VASP calculation (PBE-GGA) on a relaxed structure of CsMgTeBr6.

Cell lengths 7.174, 7.193, 8.188 Å; angles 91.80, 91.95, 115.32 degrees
Sites, in units of the cell vectors:
Cs 0.000 0.000 0.000
Mg 0.327 0.676 0.500
Te 0.674 0.327 0.500
Br 0.024 0.372 0.680
Br 0.046 0.641 0.282
Br 0.362 0.954 0.721
Br 0.373 0.370 0.311
Br 0.629 0.978 0.321
Br 0.632 0.627 0.689

Computed properties:
Raw formation energy: -0.9802 eV/atom
ρ: 3.33 g/cm3
Space-group type: P1



(15)
VASP calculation (PBE-GGA) on a relaxed structure of Cs2MgTiBr6.

Cell lengths 7.693, 7.693, 7.693 Å; angles 60.00, 60.00, 60.00 degrees
Sites, in units of the cell vectors:
Cs 0.250 0.250 0.250
Cs 0.750 0.750 0.750
Mg 0.000 0.000 0.000
Ti 0.500 0.500 0.500
Br 0.250 0.250 0.750
Br 0.250 0.750 0.250
Br 0.250 0.750 0.750
Br 0.750 0.250 0.250
Br 0.750 0.250 0.750
Br 0.750 0.750 0.250

Computed properties:
Raw formation energy: -1.4321 eV/atom
ρ: 4.22 g/cm3
Energy relative to the lowest polymorph listed for this composition: 35 meV/atom
Space-group type: Fm-3m



(16)
VASP calculation (PBE-GGA) on a relaxed structure of Cs2MgTiBr6.

Cell lengths 13.553, 13.553, 13.553 Å; angles 33.30, 33.30, 33.30 degrees
Sites, in units of the cell vectors:
Cs 0.124 0.124 0.124
Cs 0.292 0.292 0.292
Cs 0.708 0.708 0.708
Cs 0.876 0.876 0.876
Mg 0.000 0.000 0.000
Mg 0.500 0.500 0.500
Ti 0.414 0.414 0.414
Ti 0.586 0.586 0.586
Br 0.141 0.615 0.615
Br 0.206 0.206 0.710
Br 0.206 0.710 0.206
Br 0.290 0.794 0.794
Br 0.385 0.385 0.859
Br 0.385 0.859 0.385
Br 0.615 0.141 0.615
Br 0.615 0.615 0.141
Br 0.710 0.206 0.206
Br 0.794 0.290 0.794
Br 0.794 0.794 0.290
Br 0.859 0.385 0.385

Computed properties:
Raw formation energy: -1.4670 eV/atom
ρ: 4.06 g/cm3
Energy relative to the lowest polymorph listed for this composition: 0 meV/atom
Space-group type: R-3m



(17)
VASP calculation (PBE-GGA) on a relaxed structure of Cs2MgTlBr6.

Cell lengths 8.031, 8.031, 8.031 Å; angles 60.00, 60.00, 60.00 degrees
Sites, in units of the cell vectors:
Cs 0.250 0.250 0.250
Cs 0.750 0.750 0.750
Mg 0.000 0.000 0.000
Tl 0.500 0.500 0.500
Br 0.238 0.238 0.762
Br 0.238 0.762 0.238
Br 0.238 0.762 0.762
Br 0.762 0.238 0.238
Br 0.762 0.238 0.762
Br 0.762 0.762 0.238

Computed properties:
Raw formation energy: -1.3256 eV/atom
ρ: 4.42 g/cm3
Space-group type: Fm-3m



(18)
VASP calculation (PBE-GGA) on a relaxed structure of CsMgTlBr4.

Cell lengths 7.746, 7.837, 9.917 Å; angles 90.00, 108.53, 90.00 degrees
Sites, in units of the cell vectors:
Cs 0.225 0.250 0.434
Cs 0.775 0.750 0.566
Mg 0.274 0.750 0.186
Mg 0.726 0.250 0.814
Tl 0.282 0.250 0.955
Tl 0.718 0.750 0.045
Br 0.078 0.750 0.932
Br 0.086 0.750 0.351
Br 0.489 0.000 0.240
Br 0.489 0.500 0.240
Br 0.511 0.000 0.760
Br 0.511 0.500 0.760
Br 0.914 0.250 0.649
Br 0.922 0.250 0.068

Computed properties:
Raw formation energy: -1.4074 eV/atom
ρ: 3.96 g/cm3
Space-group type: P2_1/m



(19)
VASP calculation (PBE-GGA) on a relaxed structure of Cs2MgTlBr6.

Cell lengths 8.039, 8.015, 13.915 Å; angles 90.00, 125.24, 90.00 degrees
Sites, in units of the cell vectors:
Cs 0.248 0.009 0.250
Cs 0.248 0.491 0.750
Cs 0.752 0.509 0.250
Cs 0.752 0.991 0.750
Mg 0.000 0.000 0.500
Mg 0.000 0.500 0.000
Tl 0.500 0.000 0.000
Tl 0.500 0.500 0.500
Br 0.209 0.248 0.987
Br 0.209 0.252 0.487
Br 0.239 0.723 0.987
Br 0.239 0.777 0.487
Br 0.263 0.501 0.237
Br 0.263 0.999 0.737
Br 0.737 0.001 0.263
Br 0.737 0.499 0.763
Br 0.761 0.223 0.513
Br 0.761 0.277 0.013
Br 0.791 0.748 0.513
Br 0.791 0.752 0.013

Computed properties:
Raw formation energy: -1.3247 eV/atom
ρ: 4.42 g/cm3
Space-group type: P2_1/c



Raw total energy? In order: -3.09 -2.98 -2.76 -3.57 -3.54 -2.76 -3.66 -3.40 -3.12 -2.98 -3.14 -1.92 -3.23 -2.72 -3.56 -3.59 -2.90 -3.05 -2.90 eV per atom.